DFT (PBE) results for Y2Hf4Fe3N3 after structural relaxation.

Properties
magnetization: 10.94 Bohr magnetons per cell
density: 10210 kg/m3
total energy: -451.862 eV per cell

Unit cell a=9.6333 b=5.5692 c=13.7712 alpha=90.00 beta=104.14 gamma=90.00
Space group C2/c (No. 15)
One atom of each set of equivalent atoms:
Y 0.0406 0.0840 0.3755 (multiplicity 8)
Hf 0.1149 0.4099 0.5946 (multiplicity 8)
Hf 0.2211 0.4182 0.9053 (multiplicity 8)
Fe 0.0000 0.4223 0.7500 (multiplicity 4)
Fe 0.2471 0.1604 0.7503 (multiplicity 8)
N 0.0868 0.2604 0.9999 (multiplicity 8)
N 0.2500 0.2500 0.5000 (multiplicity 4)

DFT (PBE) results for HfGa3Br6 after structural relaxation.

Properties
magnetization: 3.86 Bohr magnetons per cell
density: 4153 kg/m3
total energy: -143.127 eV per cell

Unit cell a=11.1515 b=11.1515 c=11.1515 alpha=90.00 beta=90.00 gamma=90.00
Space group Fm-3m (No. 225)
One atom of each set of equivalent atoms:
Hf 0.0000 0.0000 0.0000 (multiplicity 4)
Ga 0.0000 0.0000 0.5000 (multiplicity 4)
Ga 0.2500 0.2500 0.2500 (multiplicity 8)
Br 0.0000 0.0000 0.2358 (multiplicity 24)

DFT (PBE) results for CdPd5 after structural relaxation.

Properties
energy of formation from the pure elements: -180 meV per atom
density: 11154 kg/m3

Unit cell a=4.9166 b=4.9166 c=27.5002 alpha=90.00 beta=90.00 gamma=120.00
Space group R-3c (No. 167, hexagonal axes)
One atom of each set of equivalent atoms:
Cd 0.0000 0.0000 0.0000 (multiplicity 6)
Pd 0.0000 0.0000 0.1661 (multiplicity 12)
Pd 0.0000 0.3295 0.2500 (multiplicity 18)

DFT (PBE) results for NbBi4BrO8 after structural relaxation.

Properties
magnetization: 0.00 Bohr magnetons per cell
density: 8484 kg/m3
total energy: -358.189 eV per cell

Unit cell a=28.8808 b=5.5754 c=5.5266 alpha=90.00 beta=90.00 gamma=90.00
Space group Pna2_1 (No. 33)
One atom of each set of equivalent atoms:
Nb 0.2500 0.2461 0.0000 (multiplicity 4)
Bi 0.0694 0.2555 0.9891 (multiplicity 4)
Bi 0.0694 0.7555 0.5055 (multiplicity 4)
Bi 0.1584 0.2987 0.4818 (multiplicity 4)
Bi 0.1584 0.7982 0.0156 (multiplicity 4)
Br 0.0000 0.2501 0.4970 (multiplicity 4)
O 0.1055 0.9919 0.2448 (multiplicity 4)
O 0.1057 0.4916 0.2498 (multiplicity 4)
O 0.1084 0.0073 0.7476 (multiplicity 4)
O 0.1084 0.5072 0.7470 (multiplicity 4)
O 0.1851 0.1766 0.1013 (multiplicity 4)
O 0.1850 0.6787 0.3975 (multiplicity 4)
O 0.2327 0.4575 0.7488 (multiplicity 4)
O 0.2332 0.9560 0.7539 (multiplicity 4)

DFT (PBE) results for Gd2Re2O5 after structural relaxation.

Properties
magnetization: 2.28 Bohr magnetons per cell
density: 10725 kg/m3
total energy: -71.655 eV per cell

Unit cell a=3.5244 b=3.5244 c=9.5597 alpha=90.00 beta=90.00 gamma=90.00
Space group P4/mmm (No. 123)
One atom of each set of equivalent atoms:
Gd 0.0000 0.0000 0.2346 (multiplicity 2)
Re 0.5000 0.5000 0.0000 (multiplicity 1)
Re 0.5000 0.5000 0.5000 (multiplicity 1)
O 0.0000 0.0000 0.0000 (multiplicity 1)
O 0.0000 0.5000 0.3805 (multiplicity 4)

DFT (PBE) results for HfNpCu after structural relaxation.

Properties
energy of formation from the pure elements: 665 meV per atom
magnetization: 19.15 Bohr magnetons per cell
density: 11816 kg/m3

Unit cell a=6.4575 b=6.4575 c=6.4575 alpha=90.00 beta=90.00 gamma=90.00
Space group F-43m (No. 216)
One atom of each set of equivalent atoms:
Hf 0.0000 0.0000 0.0000 (multiplicity 4)
Np 0.0000 0.0000 0.5000 (multiplicity 4)
Cu 0.2500 0.2500 0.2500 (multiplicity 4)

DFT (PBE) results for SrPrSm after structural relaxation.

Properties
magnetization: 0.06 Bohr magnetons per cell
density: 4488 kg/m3
total energy: -35.421 eV per cell

Unit cell a=8.2462 b=8.2462 c=8.2462 alpha=90.00 beta=90.00 gamma=90.00
Space group F-43m (No. 216)
One atom of each set of equivalent atoms:
Sr 0.0000 0.0000 0.0000 (multiplicity 4)
Pr 0.0000 0.0000 0.5000 (multiplicity 4)
Sm 0.2500 0.2500 0.7500 (multiplicity 4)

DFT (PBE) results for TePtNO after structural relaxation.

Properties
magnetization: 0.00 Bohr magnetons per cell
density: 10996 kg/m3
total energy: -38.388 eV per cell

Unit cell a=4.6297 b=4.6297 c=4.9695 alpha=90.00 beta=90.00 gamma=90.00
Space group P4/nmm (No. 129, origin choice 2)
One atom of each set of equivalent atoms:
Te 0.2500 0.7500 0.0000 (multiplicity 2)
Pt 0.2500 0.2500 0.4302 (multiplicity 2)
N 0.2500 0.2500 0.8521 (multiplicity 2)
O 0.2500 0.7500 0.5000 (multiplicity 2)

DFT (PBE) results for HfZrAl2Cu2 after structural relaxation.

Properties
magnetization: 0.00 Bohr magnetons per cell
density: 6917 kg/m3
total energy: -140.437 eV per cell

Unit cell a=8.4925 b=4.2448 c=12.7362 alpha=90.00 beta=109.47 gamma=90.00
Space group Pm (No. 6)
One atom of each set of equivalent atoms:
Hf 0.0000 0.0000 0.0000 (multiplicity 1)
Hf 0.1252 0.5000 0.7504 (multiplicity 1)
Hf 0.2501 0.0000 0.5004 (multiplicity 1)
Hf 0.4995 0.0000 0.9997 (multiplicity 1)
Zr 0.3747 0.5000 0.2497 (multiplicity 1)
Zr 0.6247 0.5000 0.7500 (multiplicity 1)
Zr 0.7498 0.0000 0.5000 (multiplicity 1)
Zr 0.8748 0.5000 0.2500 (multiplicity 1)
Al 0.0013 0.5000 0.5007 (multiplicity 1)
Al 0.1246 0.0000 0.2496 (multiplicity 1)
Al 0.2493 0.5000 0.9991 (multiplicity 1)
Al 0.3738 0.0000 0.7501 (multiplicity 1)
Al 0.4989 0.5000 0.5005 (multiplicity 1)
Al 0.6246 0.0000 0.2494 (multiplicity 1)
Al 0.7499 0.5000 0.0000 (multiplicity 1)
Al 0.8765 0.0000 0.7511 (multiplicity 1)
Cu 0.0616 0.5000 0.1233 (multiplicity 1)
Cu 0.1875 0.0000 0.8752 (multiplicity 1)
Cu 0.3105 0.5000 0.6247 (multiplicity 1)
Cu 0.4360 0.0000 0.3758 (multiplicity 1)
Cu 0.5613 0.5000 0.1232 (multiplicity 1)
Cu 0.6880 0.0000 0.8765 (multiplicity 1)
Cu 0.8146 0.5000 0.6261 (multiplicity 1)
Cu 0.9395 0.0000 0.3759 (multiplicity 1)

DFT (PBE) results for KYOsS4 after structural relaxation.

Properties
magnetization: 0.01 Bohr magnetons per cell
density: 4259 kg/m3
total energy: -84.312 eV per cell

Unit cell a=6.5495 b=6.5233 c=8.6550 alpha=90.00 beta=109.67 gamma=90.00
Space group P2_1 (No. 4)
One atom of each set of equivalent atoms:
K 0.2358 0.0000 0.0478 (multiplicity 2)
Y 0.2071 0.9867 0.5469 (multiplicity 2)
Os 0.2851 0.4685 0.3566 (multiplicity 2)
S 0.0017 0.7423 0.7075 (multiplicity 2)
S 0.0162 0.7236 0.2911 (multiplicity 2)
S 0.4352 0.5509 0.1688 (multiplicity 2)
S 0.4908 0.6343 0.5905 (multiplicity 2)

Repeat the seventh record exactly.
DFT (PBE) results for SrPrSm after structural relaxation.

Properties
magnetization: 0.06 Bohr magnetons per cell
density: 4488 kg/m3
total energy: -35.421 eV per cell

Unit cell a=8.2462 b=8.2462 c=8.2462 alpha=90.00 beta=90.00 gamma=90.00
Space group F-43m (No. 216)
One atom of each set of equivalent atoms:
Sr 0.0000 0.0000 0.0000 (multiplicity 4)
Pr 0.0000 0.0000 0.5000 (multiplicity 4)
Sm 0.2500 0.2500 0.7500 (multiplicity 4)